A plane-wave DFT calculation with PBE with a Hubbard U was carried out for a geometry-optimized CsVIO2 structure.

- uncorrected energy (eV per atom) = -4.57
- density of states at the Fermi level (states/eV per cell) = 3.6
- symmetry = P4/mmm (123)
- ΔE to the lowest computed polymorph (kJ/mol of formula units) = 0

abc: 4.4559 4.4559 5.6258
angles: 90.00 90.00 90.00
Fractional positions:
Cs1 0.0000 0.0000 0.0000
V1 0.5000 0.5000 0.5000
I1 0.5000 0.5000 0.0000
O1 0.0000 0.5000 0.5000
O2 0.5000 0.0000 0.5000